# PBE-GGA Pa2CdRhO8, relaxed
# Raw formation energy: -1.961 eV/atom
# Electronic total energy: -90.453 eV for the cell shown
data_Pa2CdRhO8
_chemical_formula_sum 'Pa2 Cd1 Rh1 O8'
_symmetry_space_group_name_H-M 'P 1'
_symmetry_Int_Tables_number 1
_cell_length_a 5.421
_cell_length_b 5.421
_cell_length_c 6.279
_cell_angle_alpha 90.00
_cell_angle_beta 90.00
_cell_angle_gamma 120.00
loop_
_symmetry_equiv_pos_as_xyz
'x,y,z'
loop_
_atom_site_label
_atom_site_type_symbol
_atom_site_fract_x
_atom_site_fract_y
_atom_site_fract_z
Pa1 Pa 0.667 0.333 0.131
Pa2 Pa 0.333 0.667 0.869
O1 O 0.348 0.174 0.826
O2 O 0.826 0.652 0.826
O3 O 0.333 0.667 0.574
O4 O 0.667 0.333 0.426
O5 O 0.826 0.174 0.826
O6 O 0.174 0.348 0.174
Rh1 Rh 0.000 0.000 0.000
O7 O 0.652 0.826 0.174
O8 O 0.174 0.826 0.174
Cd1 Cd 0.000 0.000 0.500

---

# PBE-GGA PaCd2RhO8, relaxed
# Raw formation energy: -1.423 eV/atom
# Electronic total energy: -75.420 eV for the cell shown
data_PaCd2RhO8
_chemical_formula_sum 'Pa1 Cd2 Rh1 O8'
_symmetry_space_group_name_H-M 'P 1'
_symmetry_Int_Tables_number 1
_cell_length_a 5.060
_cell_length_b 5.046
_cell_length_c 6.625
_cell_angle_alpha 90.00
_cell_angle_beta 90.00
_cell_angle_gamma 92.50
loop_
_symmetry_equiv_pos_as_xyz
'x,y,z'
loop_
_atom_site_label
_atom_site_type_symbol
_atom_site_fract_x
_atom_site_fract_y
_atom_site_fract_z
Rh1 Rh 0.000 0.000 0.000
O1 O 0.295 0.293 0.500
Cd1 Cd 0.500 0.500 0.758
O2 O 0.825 0.178 0.771
O3 O 0.727 0.729 0.000
O4 O 0.175 0.822 0.771
Cd2 Cd 0.500 0.500 0.242
O5 O 0.273 0.271 0.000
O6 O 0.175 0.822 0.229
O7 O 0.705 0.707 0.500
Pa1 Pa 0.000 0.000 0.500
O8 O 0.825 0.178 0.229

---

# PBE-GGA PaCd2RhO6, relaxed
# Raw formation energy: -1.542 eV/atom
# Electronic total energy: -63.850 eV for the cell shown
data_PaCd2RhO6
_chemical_formula_sum 'Pa1 Cd2 Rh1 O6'
_symmetry_space_group_name_H-M 'P 1'
_symmetry_Int_Tables_number 1
_cell_length_a 4.295
_cell_length_b 5.873
_cell_length_c 5.873
_cell_angle_alpha 90.00
_cell_angle_beta 90.00
_cell_angle_gamma 90.00
loop_
_symmetry_equiv_pos_as_xyz
'x,y,z'
loop_
_atom_site_label
_atom_site_type_symbol
_atom_site_fract_x
_atom_site_fract_y
_atom_site_fract_z
O1 O 0.159 0.500 0.500
O2 O 0.697 0.759 0.759
O3 O 0.697 0.241 0.759
Pa1 Pa 0.648 0.500 0.500
O4 O 0.697 0.759 0.241
Cd1 Cd 0.012 0.500 0.000
Rh1 Rh 0.681 0.000 0.000
O5 O 0.697 0.241 0.241
O6 O 0.148 0.000 0.000
Cd2 Cd 0.012 0.000 0.500

---

Let's list magnetization in order: 1.071, 1.371, 0.000 Bohr magnetons per cell.
Let's list theoretical density in order: 8.37, 6.75, 7.34 g cm⁻³.
Let's list V in order: 159.8, 169.0, 148.1 Å³/cell.